Compound: Tb4TlPd12
Source: the Alexandria database
Functional: GGA-PBE
Structure: optimized geometry

For the calculated formation energy, the calculation gives -0.759 eV/atom.

The space group is Im-3m (No. 229) and the conventional cell measures 8.6007, 8.6007 and 8.6007 Å, with angles of 90.00, 90.00 and 90.00 degrees. Symmetry generates all atoms from Tb at (0.2500, 0.2500, 0.2500), Tl at (0.0000, 0.0000, 0.0000), Pd at (0.0000, 0.0000, 0.3042) and Pd at (0.0000, 0.2500, 0.5000).

Compound: GaSn2Os
Source: the Alexandria database
Functional: GGA-PBE
Structure: optimized geometry

For the calculated formation energy, the calculation gives 0.321 eV/atom.

The space group is R-3m (No. 166, hexagonal axes) and the conventional cell measures 3.1742, 3.1742 and 29.7270 Å, with angles of 90.00, 90.00 and 120.00 degrees. Symmetry generates all atoms from Ga at (0.0000, 0.0000, 0.0000), Sn at (0.0000, 0.0000, 0.0971) and Os at (0.0000, 0.0000, 0.5000).

Compound: DyEr2PuTl4
Source: the Alexandria database
Functional: GGA-PBE
Structure: optimized geometry

For the calculated formation energy, the calculation gives -0.228 eV/atom.

The space group is R-3m (No. 166, hexagonal axes) and the conventional cell measures 5.3635, 5.3635 and 26.2767 Å, with angles of 90.00, 90.00 and 120.00 degrees. Symmetry generates all atoms from Dy at (0.0000, 0.0000, 0.0000), Er at (0.0000, 0.0000, 0.2481), Pu at (0.0000, 0.0000, 0.5000), Tl at (0.0000, 0.0000, 0.1233) and Tl at (0.0000, 0.0000, 0.3734).

Compound: CeY2Al3
Source: the Alexandria database
Functional: GGA-PBE
Structure: optimized geometry

For the calculated formation energy, the calculation gives -0.369 eV/atom.

The space group is P4/mmm (No. 123) and the conventional cell measures 3.5566, 3.5566 and 11.3195 Å, with angles of 90.00, 90.00 and 90.00 degrees. Symmetry generates all atoms from Ce at (0.0000, 0.0000, 0.0000), Y at (0.0000, 0.0000, 0.3379), Al at (0.5000, 0.5000, 0.1750) and Al at (0.5000, 0.5000, 0.5000).

Compound: BaSmTcO6
Source: the Alexandria database
Functional: GGA-PBE
Structure: optimized geometry

The uncorrected formation energy is -2.235 eV/atom.

The space group is P312 (No. 149) and the conventional cell measures 5.7014, 5.7014 and 5.5828 Å, with angles of 90.00, 90.00 and 120.00 degrees. Symmetry generates all atoms from Ba at (0.0000, 0.0000, 0.0000), Sm at (0.3333, 0.6667, 0.5000), Tc at (0.6667, 0.3333, 0.5000) and O at (0.4014, 0.0512, 0.6968).

Compound: Gd2AlSb
Source: the Alexandria database
Functional: GGA-PBE
Structure: optimized geometry

The uncorrected formation energy is -0.606 eV/atom.

The space group is P4/mmm (No. 123) and the conventional cell measures 4.8332, 4.8332 and 4.3725 Å, with angles of 90.00, 90.00 and 90.00 degrees. Symmetry generates all atoms from Gd at (0.0000, 0.5000, 0.0000), Al at (0.0000, 0.0000, 0.5000) and Sb at (0.5000, 0.5000, 0.5000).

Compound: KCrGaTe4
Source: the Alexandria database
Functional: GGA-PBE
Structure: optimized geometry

The uncorrected formation energy is -0.330 eV/atom.

The space group is P2_1/m (No. 11) and the conventional cell measures 7.0927, 7.4184 and 8.8932 Å, with angles of 90.00, 92.32 and 90.00 degrees. Symmetry generates all atoms from K at (0.2415, 0.2500, 0.0536), Cr at (0.1609, 0.7500, 0.4597), Ga at (0.3425, 0.2500, 0.6511), Te at (0.0751, 0.5026, 0.6854), Te at (0.3402, 0.7500, 0.1855) and Te at (0.4986, 0.7500, 0.6062).

Compound: HoEr2
Source: the Alexandria database
Functional: GGA-PBE
Structure: optimized geometry

For the calculated formation energy, the calculation gives 0.023 eV/atom.

The space group is I4/mmm (No. 139) and the conventional cell measures 3.4979, 3.4979 and 14.9102 Å, with angles of 90.00, 90.00 and 90.00 degrees. Symmetry generates all atoms from Ho at (0.0000, 0.0000, 0.0000) and Er at (0.0000, 0.0000, 0.3332).

Compound: PmAgAu3
Source: the Alexandria database
Functional: GGA-PBE
Structure: optimized geometry

For the calculated formation energy, the calculation gives -0.496 eV/atom.

The space group is Pm (No. 6) and the conventional cell measures 5.3007, 5.0671 and 8.1258 Å, with angles of 90.00, 109.02 and 90.00 degrees. Symmetry generates all atoms from Pm at (0.0000, 0.0000, 0.0000), Pm at (0.4717, 0.5000, 0.6021), Ag at (0.8317, 0.0000, 0.5816), Ag at (0.8683, 0.5000, 0.3747), Au at (0.0614, 0.5000, 0.7903), Au at (0.2165, 0.0000, 0.3989), Au at (0.2778, 0.5000, 0.1990), Au at (0.4057, 0.0000, 0.7955), Au at (0.6077, 0.0000, 0.2088) and Au at (0.6571, 0.5000, 0.0007).

Compound: KYTi3
Source: the Alexandria database
Functional: GGA-PBE
Structure: optimized geometry

For the calculated formation energy, the calculation gives 1.515 eV/atom.

The space group is Pm-3m (No. 221) and the conventional cell measures 5.2646, 5.2646 and 5.2646 Å, with angles of 90.00, 90.00 and 90.00 degrees. Symmetry generates all atoms from K at (0.0000, 0.0000, 0.0000), Y at (0.5000, 0.5000, 0.5000) and Ti at (0.0000, 0.5000, 0.5000).

Compound: Dy4Y4Ho
Source: the Alexandria database
Functional: GGA-PBE
Structure: optimized geometry

For the calculated formation energy, the calculation gives 0.022 eV/atom.

The space group is I4/mmm (No. 139) and the conventional cell measures 10.6676, 10.6676 and 5.0181 Å, with angles of 90.00, 90.00 and 90.00 degrees. Symmetry generates all atoms from Dy at (0.0000, 0.3343, 0.0000), Y at (0.1665, 0.1665, 0.5000) and Ho at (0.0000, 0.0000, 0.0000).

Compound: Pm6Ho3Tm2
Source: the Alexandria database
Functional: GGA-PBE
Structure: optimized geometry

For the calculated formation energy, the calculation gives 0.016 eV/atom.

The space group is R-3m (No. 166, hexagonal axes) and the conventional cell measures 3.5896, 3.5896 and 96.0517 Å, with angles of 90.00, 90.00 and 120.00 degrees. Symmetry generates all atoms from Pm at (0.0000, 0.0000, 0.0909), Pm at (0.0000, 0.0000, 0.1824), Pm at (0.0000, 0.0000, 0.3636), Ho at (0.0000, 0.0000, 0.0000), Ho at (0.0000, 0.0000, 0.2728) and Tm at (0.0000, 0.0000, 0.4542).

Uncorrected energy (eV/cell)
-192.193 -62.934 -118.058 -32.301 -66.869 -38.452 -57.244 -27.266 -39.824 -23.670 -97.281 -153.006